! Cs2TeIr2, relaxed, DFT PBE; values from VASP
&SYSTEM
  ibrav = 0, nat = 10, ntyp = 3
/
ATOMIC_SPECIES
Cs 132.91 Cs.upf
Ir 192.22 Ir.upf
Te 127.60 Te.upf
CELL_PARAMETERS angstrom
-7.323 8.035 0.310
-1.423 -0.881 -10.746
-2.269 -2.086 0.472
ATOMIC_POSITIONS angstrom
Cs -3.355 1.721 -8.527
Cs -6.867 5.831 -7.249
Cs -5.391 5.432 -1.908
Cs -1.878 1.322 -3.187
Ir -2.499 -0.949 -5.917
Ir -6.659 2.759 -9.529
Ir -8.515 6.016 -4.047
Ir -4.355 2.308 -0.435
Te 0.000 0.000 0.000
Te -4.373 3.577 -5.218
! DOS(E_F) (states/eV per atom): 0.86
! Energy relative to the lowest polymorph listed for this composition (meV per atom): 729
! ΔE_f (raw) (eV per formula unit): 4.6
! M_tot (μB/atom): 0.4372
! Calculated density (g/cm³): 7.005
! SG: P4/mbm (127)
! Volume (Å³/f.u.): 184.39